[1]
Cs2TlSeCl6 | the Alexandria database | PBE | relaxed; formation energy without anion corrections = -1.11 eV/atom; DFT total energy = -2.974 eV/atom
1.0
-3.847 3.847 5.886
3.847 -3.847 5.886
3.847 3.847 -5.886
Cs Tl Se Cl
2 1 1 6
Direct
0.250 0.750 0.500
0.750 0.250 0.500
0.000 0.000 0.000
0.500 0.500 0.000
0.242 0.242 0.000
0.276 0.276 0.552
0.276 0.724 0.000
0.724 0.276 0.000
0.724 0.724 0.448
0.758 0.758 0.000


[2]
Tl2SbMo | the Alexandria database | PBE | relaxed; formation energy without anion corrections = 0.36 eV/atom; DFT total energy = -4.560 eV/atom; energy above the most stable polymorph in this dataset = 52 meV per atom
1.0
7.932 -1.555 0.000
7.932 1.555 0.000
-1.276 0.000 4.327
Tl Sb Mo
2 1 1
Direct
0.182 0.182 0.182
0.818 0.818 0.818
0.000 0.000 0.500
0.500 0.500 0.000